Entry 1:
Below is crystalline Ba4NaPa3S12 at its relaxed geometry, with properties calculated at the PBE level.

a b c (Å): 10.5203 10.5203 10.5203
angles (deg): 90.00 90.00 90.00
Space group Im-3m (No. 229)
Symmetry-distinct sites (fractional):
Ba1 0.2500 0.2500 0.2500 (multiplicity 8)
Na1 0.0000 0.0000 0.0000 (multiplicity 2)
Pa1 0.0000 0.0000 0.5000 (multiplicity 6)
S1 0.0000 0.0000 0.2590 (multiplicity 12)
S2 0.0000 0.2500 0.5000 (multiplicity 12)

Output
The value obtained for the uncorrected energy is -244.23 eV for the cell shown. The value obtained for the uncorrected formation energy is -1.754 eV per atom.

---

Entry 2:
Below is crystalline Ba2Na3PaS6 at its relaxed geometry, with properties calculated at the PBE level.

a b c (Å): 7.5539 13.3233 7.0942
angles (deg): 90.00 110.12 90.00
Space group C2/m (No. 12)
Symmetry-distinct sites (fractional):
Ba1 0.0000 0.1695 0.0000 (multiplicity 4)
Na1 0.0000 0.0000 0.5000 (multiplicity 2)
Na2 0.0000 0.3553 0.5000 (multiplicity 4)
Pa1 0.0000 0.5000 0.0000 (multiplicity 2)
S1 0.2188 0.3578 0.2371 (multiplicity 8)
S2 0.2218 0.5000 0.7769 (multiplicity 4)

Output
The value obtained for the uncorrected energy is -123.72 eV for the cell shown. The value obtained for the uncorrected formation energy is -1.650 eV per atom.

---

Entry 3:
Below is crystalline BaNa3Pa4S12 at its relaxed geometry, with properties calculated at the PBE level.

a b c (Å): 10.1944 10.1944 10.1944
angles (deg): 90.00 90.00 90.00
Space group Im-3 (No. 204)
Symmetry-distinct sites (fractional):
Ba1 0.0000 0.0000 0.0000 (multiplicity 2)
Na1 0.0000 0.0000 0.5000 (multiplicity 6)
Pa1 0.2500 0.2500 0.2500 (multiplicity 8)
S1 0.0000 0.1885 0.2906 (multiplicity 24)

Output
The value obtained for the uncorrected energy is -249.62 eV for the cell shown. The value obtained for the uncorrected formation energy is -1.571 eV per atom.

---

Entry 4:
Below is crystalline BaNa2PaS4 at its relaxed geometry, with properties calculated at the PBE level.

a b c (Å): 5.7547 5.7547 13.4256
angles (deg): 90.00 90.00 90.00
Space group I-4m2 (No. 119)
Symmetry-distinct sites (fractional):
Ba1 0.0000 0.0000 0.0000 (multiplicity 2)
Na1 0.0000 0.0000 0.5000 (multiplicity 2)
Na2 0.0000 0.5000 0.2500 (multiplicity 2)
Pa1 0.0000 0.5000 0.7500 (multiplicity 2)
S1 0.0000 0.0000 0.2459 (multiplicity 4)
S2 0.0000 0.5000 0.5523 (multiplicity 4)

Output
The value obtained for the uncorrected energy is -85.82 eV for the cell shown. The value obtained for the uncorrected formation energy is -1.543 eV per atom.

---

Entry 5:
Below is crystalline Ba3Na2PaS6 at its relaxed geometry, with properties calculated at the PBE level.

a b c (Å): 7.5392 13.0400 7.4222
angles (deg): 90.00 109.43 90.00
Space group C2/m (No. 12)
Symmetry-distinct sites (fractional):
Ba1 0.0000 0.0000 0.0000 (multiplicity 2)
Ba2 0.0000 0.3267 0.0000 (multiplicity 4)
Na1 0.0000 0.1649 0.5000 (multiplicity 4)
Pa1 0.0000 0.5000 0.5000 (multiplicity 2)
S1 0.2273 0.5000 0.2726 (multiplicity 4)
S2 0.2277 0.3469 0.7218 (multiplicity 8)

Output
The value obtained for the uncorrected energy is -126.73 eV for the cell shown. The value obtained for the uncorrected formation energy is -1.725 eV per atom.

---

Entry 6:
Below is crystalline BaNaPaSe4 at its relaxed geometry, with properties calculated at the PBE level.

a b c (Å): 5.5094 5.5094 16.0299
angles (deg): 90.00 90.00 90.00
Space group I4mm (No. 107)
Symmetry-distinct sites (fractional):
Ba1 0.0000 0.0000 0.0000 (multiplicity 2)
Na1 0.0000 0.0000 0.2843 (multiplicity 2)
Pa1 0.0000 0.0000 0.6378 (multiplicity 2)
Se1 0.0000 0.0000 0.4670 (multiplicity 2)
Se2 0.0000 0.0000 0.8038 (multiplicity 2)
Se3 0.0000 0.5000 0.1351 (multiplicity 4)

Output
The value obtained for the uncorrected energy is -73.80 eV for the cell shown. The value obtained for the uncorrected formation energy is -1.461 eV per atom.

---

Entry 7:
Below is crystalline BaNa2PaSe4 at its relaxed geometry, with properties calculated at the PBE level.

a b c (Å): 6.0314 6.0314 13.6410
angles (deg): 90.00 90.00 90.00
Space group I-4m2 (No. 119)
Symmetry-distinct sites (fractional):
Ba1 0.0000 0.0000 0.0000 (multiplicity 2)
Na1 0.0000 0.0000 0.5000 (multiplicity 2)
Na2 0.0000 0.5000 0.2500 (multiplicity 2)
Pa1 0.0000 0.5000 0.7500 (multiplicity 2)
Se1 0.0000 0.0000 0.2486 (multiplicity 4)
Se2 0.0000 0.5000 0.5457 (multiplicity 4)

Output
The value obtained for the uncorrected energy is -78.86 eV for the cell shown. The value obtained for the uncorrected formation energy is -1.429 eV per atom.

---

Entry 8:
Below is crystalline BaNa2PaTe4 at its relaxed geometry, with properties calculated at the PBE level.

a b c (Å): 6.4897 6.4897 14.0550
angles (deg): 90.00 90.00 90.00
Space group I-4m2 (No. 119)
Symmetry-distinct sites (fractional):
Ba1 0.0000 0.0000 0.0000 (multiplicity 2)
Na1 0.0000 0.0000 0.5000 (multiplicity 2)
Na2 0.0000 0.5000 0.2500 (multiplicity 2)
Pa1 0.0000 0.5000 0.7500 (multiplicity 2)
Te1 0.0000 0.0000 0.2521 (multiplicity 4)
Te2 0.0000 0.5000 0.5357 (multiplicity 4)

Output
The value obtained for the uncorrected energy is -70.29 eV for the cell shown. The value obtained for the uncorrected formation energy is -1.065 eV per atom.

---

Entry 9:
Below is crystalline Ba2Na3PaTe6 at its relaxed geometry, with properties calculated at the PBE level.

a b c (Å): 8.3604 14.4869 7.9280
angles (deg): 90.00 111.08 90.00
Space group C2/m (No. 12)
Symmetry-distinct sites (fractional):
Ba1 0.0000 0.1670 0.0000 (multiplicity 4)
Na1 0.0000 0.0000 0.5000 (multiplicity 2)
Na2 0.0000 0.3326 0.5000 (multiplicity 4)
Pa1 0.0000 0.5000 0.0000 (multiplicity 2)
Te1 0.2130 0.5000 0.7621 (multiplicity 4)
Te2 0.2301 0.3523 0.2470 (multiplicity 8)

Output
The value obtained for the uncorrected energy is -101.30 eV for the cell shown. The value obtained for the uncorrected formation energy is -1.209 eV per atom.

---

Entry 10:
Below is crystalline Ba3NaPb8 at its relaxed geometry, with properties calculated at the PBE level.

a b c (Å): 6.7778 6.7778 32.2832
angles (deg): 90.00 90.00 120.00
Space group R3m (No. 160, hexagonal axes)
Symmetry-distinct sites (fractional):
Ba1 0.0000 0.0000 0.0000 (multiplicity 3)
Ba2 0.0000 0.0000 0.1280 (multiplicity 3)
Ba3 0.0000 0.0000 0.5081 (multiplicity 3)
Na1 0.0000 0.0000 0.6316 (multiplicity 3)
Pb1 0.0000 0.0000 0.3150 (multiplicity 3)
Pb2 0.0000 0.0000 0.8158 (multiplicity 3)
Pb3 0.0001 0.5001 0.0648 (multiplicity 9)
Pb4 0.0009 0.5005 0.5658 (multiplicity 9)

Output
The value obtained for the uncorrected energy is -124.02 eV for the cell shown. As for the formation energy: -0.382 eV/atom.

---

Entry 11:
Below is crystalline BaNa3Pb3 at its relaxed geometry, with properties calculated at the PBE level.

a b c (Å): 11.3478 11.3478 4.8016
angles (deg): 90.00 90.00 120.00
Space group P6_3/m (No. 176)
Symmetry-distinct sites (fractional):
Ba1 0.3333 0.6667 0.2500 (multiplicity 2)
Na1 0.0699 0.3019 0.7500 (multiplicity 6)
Pb1 0.0661 0.5979 0.7500 (multiplicity 6)

Output
The value obtained for the uncorrected energy is -37.33 eV for the cell shown. As for the formation energy: -0.237 eV/atom.

---

Entry 12:
Below is crystalline Ba3NaPb2 at its relaxed geometry, with properties calculated at the PBE level.

a b c (Å): 6.2485 19.2012 4.1692
angles (deg): 90.00 90.00 90.00
Space group Cmmm (No. 65)
Symmetry-distinct sites (fractional):
Ba1 0.0000 0.0000 0.0000 (multiplicity 2)
Ba2 0.0000 0.3184 0.0000 (multiplicity 4)
Na1 0.0000 0.5000 0.5000 (multiplicity 2)
Pb1 0.0000 0.1521 0.5000 (multiplicity 4)

Output
The value obtained for the uncorrected energy is -33.79 eV for the cell shown. As for the formation energy: -0.399 eV/atom.